Entry 1:
A plane-wave DFT calculation with PBE-GGA was carried out for a relaxed structure of LuAl4Tl.

abc: 7.8745 7.8745 7.8745
angles: 90.00 90.00 90.00
Last column: nearest neighbours and their distance in Å.
Space group F-43m (No. 216)
Inequivalent atoms, fractional coordinates:
Lu  0.0000  0.0000  0.0000 x4  12 Al 3.26, 4 Tl 3.41
Al  0.1259  0.1259  0.6259 x16  6 Al 2.76-2.80
Tl  0.2500  0.2500  0.2500 x4  12 Al 3.27, 4 Lu 3.41

## Properties
The total moment is 0.00 μB per cell. Its theoretical density is 6.628 g/cm3. The value obtained for the energy of formation is -0.101 eV/atom.

***

Entry 2:
A plane-wave DFT calculation with PBE-GGA was carried out for a relaxed structure of K4Dy3ThSe8.

abc: 8.4419 8.4419 23.1432
angles: 90.00 90.00 120.00
Last column: nearest neighbours and their distance in Å.
Space group R-3m (No. 166, hexagonal axes)
Inequivalent atoms, fractional coordinates:
K  0.0000  0.0000  0.0000 x3  6 Se 3.29
K  0.0000  0.5000  0.0000 x9  6 Se 3.32-3.33
Dy  0.0000  0.5000  0.5000 x9  6 Se 2.91
Th  0.0000  0.0000  0.5000 x3  6 Se 2.94
Se  0.0000  0.0000  0.2351 x6  3 Dy 2.91
Se  0.0032  0.5016  0.7636 x18  2 Dy 2.91, 1 Th 2.94

## Properties
The total moment is 0.00 μB per cell. Its theoretical density is 5.258 g/cm3. The formation energy from raw total energies comes out at -1.70 eV/atom.

***

Entry 3:
A plane-wave DFT calculation with PBE-GGA was carried out for a relaxed structure of La2CoRh.

abc: 6.8927 6.8927 6.8927
angles: 90.00 90.00 90.00
Last column: nearest neighbours and their distance in Å.
Space group F-43m (No. 216)
Inequivalent atoms, fractional coordinates:
La  0.0000  0.0000  0.0000 x4  4 Rh 2.98, 4 La 2.98
La  0.2500  0.2500  0.2500 x4  4 La 2.98, 4 Co 2.98
Co  0.0000  0.0000  0.5000 x4  4 La 2.98, 4 Rh 2.98
Rh  0.2500  0.2500  0.7500 x4  4 La 2.98, 4 Co 2.98

## Properties
The total moment is 3.81 μB per cell. Its theoretical density is 8.917 g/cm3. The value obtained for the energy above the most stable polymorph in this dataset is 341 meV per atom. The value obtained for the energy of formation is -0.052 eV/atom.

***

Entry 4:
A plane-wave DFT calculation with PBE-GGA was carried out for a relaxed structure of Rb4Ac3ZrSe8.

abc: 8.9260 8.9260 24.1562
angles: 90.00 90.00 120.00
Last column: nearest neighbours and their distance in Å.
Space group R-3m (No. 166, hexagonal axes)
Inequivalent atoms, fractional coordinates:
Rb  0.0000  0.0000  0.0000 x3  6 Se 3.70
Rb  0.0000  0.5000  0.0000 x9  6 Se 3.45-3.47
Ac  0.0000  0.5000  0.5000 x9  6 Se 3.10-3.13
Zr  0.0000  0.0000  0.5000 x3  6 Se 2.85
Se  0.0000  0.0000  0.2381 x6  3 Ac 3.10, 3 Rb 3.45
Se  0.0285  0.5142  0.2329 x18  1 Zr 2.85, 2 Ac 3.13

## Properties
The total moment is 2.85 μB per cell. Its theoretical density is 5.218 g/cm3. The formation energy from raw total energies comes out at -1.63 eV/atom.

***

Entry 5:
A plane-wave DFT calculation with PBE-GGA was carried out for a relaxed structure of AcScGe.

abc: 7.3318 7.3318 18.3646
angles: 90.00 90.00 120.00
Last column: nearest neighbours and their distance in Å.
Space group R3 (No. 146, hexagonal axes)
Inequivalent atoms, fractional coordinates:
Ac  0.0007  0.3202  0.0000 x9  3 Ge 3.07-3.35
Sc  0.0151  0.7120  0.1699 x9  3 Ge 2.74-2.81
Ge  0.0000  0.0000  0.4346 x3  1 Ge 2.47
Ge  0.0000  0.0000  0.5693 x3  1 Ge 2.47
Ge  0.0000  0.0000  0.8697 x3  3 Sc 2.74

## Properties
The total moment is 0.00 μB per cell. Its theoretical density is 6.024 g/cm3. The value obtained for the energy above the most stable polymorph in this dataset is 353 meV per atom. The value obtained for the energy of formation is -0.301 eV/atom.

***

Entry 6:
A plane-wave DFT calculation with PBE-GGA was carried out for a relaxed structure of ErSi2Au.

abc: 5.3797 8.9296 3.0969
angles: 90.00 90.00 90.00
Last column: nearest neighbours and their distance in Å.
Space group Cmmm (No. 65)
Inequivalent atoms, fractional coordinates:
Er  0.0000  0.0000  0.0000 x2  8 Si 3.03, 2 Er 3.10, 4 Au 3.10
Si  0.2500  0.2500  0.5000 x4  2 Au 2.61, 2 Si 2.69
Au  0.0000  0.5000  0.5000 x2  4 Si 2.61

## Properties
The total moment is 0.00 μB per cell. Its theoretical density is 9.385 g/cm3. The formation energy from raw total energies comes out at -0.35 eV/atom.

***

What did the sixth record say?
A plane-wave DFT calculation with PBE-GGA was carried out for a relaxed structure of ErSi2Au.

abc: 5.3797 8.9296 3.0969
angles: 90.00 90.00 90.00
Last column: nearest neighbours and their distance in Å.
Space group Cmmm (No. 65)
Inequivalent atoms, fractional coordinates:
Er  0.0000  0.0000  0.0000 x2  8 Si 3.03, 2 Er 3.10, 4 Au 3.10
Si  0.2500  0.2500  0.5000 x4  2 Au 2.61, 2 Si 2.69
Au  0.0000  0.5000  0.5000 x2  4 Si 2.61

## Properties
The total moment is 0.00 μB per cell. Its theoretical density is 9.385 g/cm3. The formation energy from raw total energies comes out at -0.35 eV/atom.

***

Which formula does entry 6 have?
ErSi2Au

***

Which value of total moment does entry 2 give?
0.00 μB per cell